Crystalline LiFe2Co at its relaxed geometry, computed with PBE.

```
data_LiFe2Co
_chemical_formula_sum 'Li1 Fe2 Co1'
_cell_length_a 3.881
_cell_length_b 3.881
_cell_length_c 3.881
_cell_angle_alpha 60.00
_cell_angle_beta 60.00
_cell_angle_gamma 60.00
_symmetry_space_group_name_H-M 'P 1'
_symmetry_Int_Tables_number 1
loop_
_symmetry_equiv_pos_as_xyz
'x,y,z'
loop_
_atom_site_label
_atom_site_type_symbol
_atom_site_fract_x
_atom_site_fract_y
_atom_site_fract_z
Co1 Co 0.500 0.500 0.500
Fe1 Fe 0.250 0.250 0.250
Fe2 Fe 0.750 0.750 0.750
Li1 Li 0.000 0.000 0.000
```

Summary:
The total energy comes out at -5.9879 eV per atom. The spin magnetization comes out at 0.0 μB/f.u. The polymorph energy (0 for the lowest one) comes out at 389.5 meV per atom. For the density of states at the Fermi level, the calculation gives 8.83 states/eV per cell.

Crystalline KSrTl4 at its relaxed geometry, computed with PBE.

```
data_KSrTl4
_chemical_formula_sum 'K1 Sr1 Tl4'
_cell_length_a 6.615
_cell_length_b 6.615
_cell_length_c 6.615
_cell_angle_alpha 60.00
_cell_angle_beta 60.00
_cell_angle_gamma 60.00
_symmetry_space_group_name_H-M 'P 1'
_symmetry_Int_Tables_number 1
loop_
_symmetry_equiv_pos_as_xyz
'x,y,z'
loop_
_atom_site_label
_atom_site_type_symbol
_atom_site_fract_x
_atom_site_fract_y
_atom_site_fract_z
K1 K 0.250 0.250 0.250
Sr1 Sr 0.000 0.000 0.000
Tl1 Tl 0.125 0.625 0.625
Tl2 Tl 0.625 0.625 0.625
Tl3 Tl 0.625 0.125 0.625
Tl4 Tl 0.625 0.625 0.125
```

Summary:
The total energy comes out at -2.1947 eV per atom. The spin magnetization comes out at 0.0 μB/f.u. The polymorph energy (0 for the lowest one) comes out at 33.6 meV per atom. For the density of states at the Fermi level, the calculation gives 4.18 states/eV per cell.

Crystalline NaLiCa2Si at its relaxed geometry, computed with PBE.

```
data_NaLiCa2Si
_chemical_formula_sum 'Na1 Li1 Ca2 Si1'
_cell_length_a 5.775
_cell_length_b 5.775
_cell_length_c 5.057
_cell_angle_alpha 90.00
_cell_angle_beta 90.00
_cell_angle_gamma 90.00
_symmetry_space_group_name_H-M 'P 1'
_symmetry_Int_Tables_number 1
loop_
_symmetry_equiv_pos_as_xyz
'x,y,z'
loop_
_atom_site_label
_atom_site_type_symbol
_atom_site_fract_x
_atom_site_fract_y
_atom_site_fract_z
Na1 Na 0.500 0.500 0.500
Ca1 Ca 0.000 0.500 0.000
Ca2 Ca 0.500 0.000 0.000
Si1 Si 0.000 0.000 0.000
Li1 Li 0.000 0.000 0.500
```

Summary:
The total energy comes out at -2.6178 eV per atom. The spin magnetization comes out at 0.0 μB/f.u. For the density of states at the Fermi level, the calculation gives 1.10 states/eV per cell.

Crystalline Sr2HfCdC at its relaxed geometry, computed with PBE.

```
data_Sr2HfCdC
_chemical_formula_sum 'Sr2 Hf1 Cd1 C1'
_cell_length_a 5.606
_cell_length_b 4.368
_cell_length_c 5.606
_cell_angle_alpha 90.00
_cell_angle_beta 90.00
_cell_angle_gamma 90.00
_symmetry_space_group_name_H-M 'P 1'
_symmetry_Int_Tables_number 1
loop_
_symmetry_equiv_pos_as_xyz
'x,y,z'
loop_
_atom_site_label
_atom_site_type_symbol
_atom_site_fract_x
_atom_site_fract_y
_atom_site_fract_z
Sr1 Sr 0.000 0.000 0.500
Sr2 Sr 0.500 0.000 0.000
C1 C 0.000 0.000 0.000
Hf1 Hf 0.500 0.500 0.500
Cd1 Cd 0.000 0.500 0.000
```

Summary:
The total energy comes out at -3.7593 eV per atom. The spin magnetization comes out at 2.1 μB/f.u. For the density of states at the Fermi level, the calculation gives 7.35 states/eV per cell.

Crystalline Ca12Tl5H2 at its relaxed geometry, computed with PBE.

```
data_Ca12Tl5H2
_chemical_formula_sum 'Ca12 Tl5 H2'
_cell_length_a 9.564
_cell_length_b 8.953
_cell_length_c 9.263
_cell_angle_alpha 108.21
_cell_angle_beta 90.00
_cell_angle_gamma 122.29
_symmetry_space_group_name_H-M 'P 1'
_symmetry_Int_Tables_number 1
loop_
_symmetry_equiv_pos_as_xyz
'x,y,z'
loop_
_atom_site_label
_atom_site_type_symbol
_atom_site_fract_x
_atom_site_fract_y
_atom_site_fract_z
Ca1 Ca 0.059 0.117 0.210
Ca2 Ca 0.153 0.721 0.950
Ca3 Ca 0.568 0.721 0.950
Ca4 Ca 0.109 0.697 0.414
Ca5 Ca 0.588 0.697 0.414
Ca6 Ca 0.503 0.005 0.720
Ca7 Ca 0.497 0.995 0.280
Ca8 Ca 0.891 0.303 0.586
Ca9 Ca 0.412 0.303 0.586
Ca10 Ca 0.847 0.279 0.050
Ca11 Ca 0.432 0.279 0.050
Ca12 Ca 0.941 0.883 0.790
Tl1 Tl 0.287 0.573 0.624
Tl2 Tl 0.264 0.528 0.144
Tl3 Tl 0.000 0.000 0.500
Tl4 Tl 0.736 0.472 0.856
Tl5 Tl 0.713 0.427 0.376
H1 H 0.844 0.000 0.000
H2 H 0.156 0.000 0.000
```

Summary:
The total energy comes out at -2.4781 eV per atom. The spin magnetization comes out at 0.0 μB/f.u. For the density of states at the Fermi level, the calculation gives 11.09 states/eV per cell.

Crystalline TbNdSmGa at its relaxed geometry, computed with PBE.

```
data_TbNdSmGa
_chemical_formula_sum 'Tb1 Nd1 Sm1 Ga1'
_cell_length_a 5.418
_cell_length_b 5.418
_cell_length_c 5.418
_cell_angle_alpha 60.00
_cell_angle_beta 60.00
_cell_angle_gamma 60.00
_symmetry_space_group_name_H-M 'P 1'
_symmetry_Int_Tables_number 1
loop_
_symmetry_equiv_pos_as_xyz
'x,y,z'
loop_
_atom_site_label
_atom_site_type_symbol
_atom_site_fract_x
_atom_site_fract_y
_atom_site_fract_z
Nd1 Nd 0.500 0.500 0.500
Tb1 Tb 0.750 0.750 0.750
Ga1 Ga 0.250 0.250 0.250
Sm1 Sm 0.000 0.000 0.000
```

Summary:
The total energy comes out at -4.3710 eV per atom. The spin magnetization comes out at 0.5 μB/f.u. For the density of states at the Fermi level, the calculation gives 7.36 states/eV per cell.

Crystalline RePPbO2 at its relaxed geometry, computed with PBE.

```
data_RePPbO2
_chemical_formula_sum 'Re1 P1 Pb1 O2'
_cell_length_a 4.023
_cell_length_b 4.023
_cell_length_c 5.823
_cell_angle_alpha 90.00
_cell_angle_beta 90.00
_cell_angle_gamma 90.00
_symmetry_space_group_name_H-M 'P 1'
_symmetry_Int_Tables_number 1
loop_
_symmetry_equiv_pos_as_xyz
'x,y,z'
loop_
_atom_site_label
_atom_site_type_symbol
_atom_site_fract_x
_atom_site_fract_y
_atom_site_fract_z
Pb1 Pb 0.000 0.000 0.000
Re1 Re 0.500 0.500 0.500
O1 O 0.000 0.500 0.000
O2 O 0.500 0.000 0.000
P1 P 0.000 0.000 0.500
```

Summary:
The total energy comes out at -5.3772 eV per atom. The spin magnetization comes out at 4.0 μB/f.u. The polymorph energy (0 for the lowest one) comes out at 1562.5 meV per atom. For the density of states at the Fermi level, the calculation gives 3.14 states/eV per cell.

Crystalline Pm2Zn3Pd8 at its relaxed geometry, computed with PBE.

```
data_Pm2Zn3Pd8
_chemical_formula_sum 'Pm2 Zn3 Pd8'
_cell_length_a 7.726
_cell_length_b 6.658
_cell_length_c 6.307
_cell_angle_alpha 121.86
_cell_angle_beta 114.24
_cell_angle_gamma 90.00
_symmetry_space_group_name_H-M 'P 1'
_symmetry_Int_Tables_number 1
loop_
_symmetry_equiv_pos_as_xyz
'x,y,z'
loop_
_atom_site_label
_atom_site_type_symbol
_atom_site_fract_x
_atom_site_fract_y
_atom_site_fract_z
Pm1 Pm 0.224 0.312 0.623
Pm2 Pm 0.776 0.688 0.377
Zn1 Zn 0.500 0.000 0.000
Zn2 Zn 0.000 0.313 0.000
Zn3 Zn 0.000 0.687 0.000
Pd1 Pd 0.232 0.738 0.477
Pd2 Pd 0.768 0.262 0.523
Pd3 Pd 0.865 0.052 0.103
Pd4 Pd 0.135 0.948 0.897
Pd5 Pd 0.599 0.604 0.792
Pd6 Pd 0.599 0.189 0.792
Pd7 Pd 0.401 0.811 0.208
Pd8 Pd 0.401 0.396 0.208
```

Summary:
The total energy comes out at -4.7210 eV per atom. The spin magnetization comes out at 0.0 μB/f.u. For the density of states at the Fermi level, the calculation gives 4.74 states/eV per cell.

Crystalline KBaCa at its relaxed geometry, computed with PBE.

```
data_KBaCa
_chemical_formula_sum 'K1 Ba1 Ca1'
_cell_length_a 10.298
_cell_length_b 10.298
_cell_length_c 10.298
_cell_angle_alpha 156.46
_cell_angle_beta 156.46
_cell_angle_gamma 33.53
_symmetry_space_group_name_H-M 'P 1'
_symmetry_Int_Tables_number 1
loop_
_symmetry_equiv_pos_as_xyz
'x,y,z'
loop_
_atom_site_label
_atom_site_type_symbol
_atom_site_fract_x
_atom_site_fract_y
_atom_site_fract_z
Ba1 Ba 0.988 0.988 0.000
Ca1 Ca 0.337 0.337 0.000
K1 K 0.674 0.674 0.000
```

Summary:
The total energy comes out at -1.5608 eV per atom. The spin magnetization comes out at 0.0 μB/f.u. The polymorph energy (0 for the lowest one) comes out at 32.6 meV per atom. For the density of states at the Fermi level, the calculation gives 4.35 states/eV per cell.

Crystalline CaH8Ir2 at its relaxed geometry, computed with PBE.

```
data_CaH8Ir2
_chemical_formula_sum 'Ca1 H8 Ir2'
_cell_length_a 3.389
_cell_length_b 5.742
_cell_length_c 5.742
_cell_angle_alpha 85.69
_cell_angle_beta 72.83
_cell_angle_gamma 72.83
_symmetry_space_group_name_H-M 'P 1'
_symmetry_Int_Tables_number 1
loop_
_symmetry_equiv_pos_as_xyz
'x,y,z'
loop_
_atom_site_label
_atom_site_type_symbol
_atom_site_fract_x
_atom_site_fract_y
_atom_site_fract_z
Ca1 Ca 0.500 0.000 0.000
H1 H 0.147 0.033 0.673
H2 H 0.147 0.673 0.033
H3 H 0.838 0.662 0.662
H4 H 0.500 0.713 0.287
H5 H 0.500 0.287 0.713
H6 H 0.162 0.338 0.338
H7 H 0.853 0.327 0.967
H8 H 0.853 0.967 0.327
Ir1 Ir 0.000 0.330 0.670
Ir2 Ir 0.000 0.670 0.330
```

Summary:
The total energy comes out at -4.3972 eV per atom. The spin magnetization comes out at 0.0 μB/f.u.

Crystalline Cd8Ag4Pb at its relaxed geometry, computed with PBE.

```
data_Cd8Ag4Pb
_chemical_formula_sum 'Cd8 Ag4 Pb1'
_cell_length_a 5.733
_cell_length_b 7.584
_cell_length_c 7.584
_cell_angle_alpha 81.79
_cell_angle_beta 67.79
_cell_angle_gamma 67.79
_symmetry_space_group_name_H-M 'P 1'
_symmetry_Int_Tables_number 1
loop_
_symmetry_equiv_pos_as_xyz
'x,y,z'
loop_
_atom_site_label
_atom_site_type_symbol
_atom_site_fract_x
_atom_site_fract_y
_atom_site_fract_z
Cd1 Cd 0.000 0.346 0.654
Cd2 Cd 0.000 0.654 0.346
Cd3 Cd 0.346 0.654 0.654
Cd4 Cd 0.654 0.346 0.346
Cd5 Cd 0.500 0.783 0.217
Cd6 Cd 0.500 0.217 0.783
Cd7 Cd 0.283 0.217 0.217
Cd8 Cd 0.717 0.783 0.783
Ag1 Ag 0.000 0.000 0.500
Ag2 Ag 0.500 0.000 0.500
Ag3 Ag 0.000 0.500 0.000
Ag4 Ag 0.500 0.500 0.000
Pb1 Pb 0.000 0.000 0.000
```

Summary:
The total energy comes out at -1.7595 eV per atom. The spin magnetization comes out at 0.0 μB/f.u. For the density of states at the Fermi level, the calculation gives 3.46 states/eV per cell.

Crystalline LiZn2Au at its relaxed geometry, computed with PBE.

```
data_LiZn2Au
_chemical_formula_sum 'Li1 Zn2 Au1'
_cell_length_a 4.398
_cell_length_b 4.398
_cell_length_c 4.398
_cell_angle_alpha 60.00
_cell_angle_beta 60.00
_cell_angle_gamma 60.00
_symmetry_space_group_name_H-M 'P 1'
_symmetry_Int_Tables_number 1
loop_
_symmetry_equiv_pos_as_xyz
'x,y,z'
loop_
_atom_site_label
_atom_site_type_symbol
_atom_site_fract_x
_atom_site_fract_y
_atom_site_fract_z
Zn1 Zn 0.000 0.000 0.000
Zn2 Zn 0.250 0.250 0.250
Au1 Au 0.500 0.500 0.500
Li1 Li 0.750 0.750 0.750
```

Summary:
The total energy comes out at -2.2433 eV per atom. The spin magnetization comes out at 0.0 μB/f.u. The polymorph energy (0 for the lowest one) comes out at 53.4 meV per atom. For the density of states at the Fermi level, the calculation gives 1.85 states/eV per cell.